Below is crystalline Ti2RhCl at its relaxed geometry, with properties calculated at the PBE-GGA level.

Summary:
crystal system	tetragonal
final energy	-6.4859	eV per atom
size of the total moment	0.00	μB per atom

Cell and atoms, written as CIF:
```
data_Ti2RhCl
_chemical_formula_sum 'Ti8 Rh4 Cl4'
_cell_length_a 6.516
_cell_length_b 6.516
_cell_length_c 6.431
_cell_angle_alpha 90.00
_cell_angle_beta 90.00
_cell_angle_gamma 90.00
_symmetry_space_group_name_H-M 'I -4 2 d'
_symmetry_Int_Tables_number 122
_symmetry_space_group_name_Hall 'I -4 2bw'
loop_
_atom_site_label
_atom_site_fract_x
_atom_site_fract_y
_atom_site_fract_z
Ti1 0.235 0.750 0.125
Rh1 0.000 0.000 0.500
Cl1 0.000 0.000 0.000
```

***

Below is crystalline TlRh2Cl at its relaxed geometry, with properties calculated at the PBE-GGA level.

Summary:
crystal system	monoclinic
final energy	-4.5918	eV per atom
size of the total moment	0.00	μB per atom

Cell and atoms, written as CIF:
```
data_TlRh2Cl
_chemical_formula_sum 'Tl1 Rh2 Cl1'
_cell_length_a 3.013
_cell_length_b 3.549
_cell_length_c 7.364
_cell_angle_alpha 90.00
_cell_angle_beta 90.53
_cell_angle_gamma 90.00
_symmetry_space_group_name_H-M 'P 1 m 1'
_symmetry_Int_Tables_number 6
_symmetry_space_group_name_Hall 'P -2y'
loop_
_atom_site_label
_atom_site_fract_x
_atom_site_fract_y
_atom_site_fract_z
Tl1 0.000 0.000 0.000
Rh1 0.495 0.500 0.774
Rh2 0.991 0.000 0.586
Cl1 0.984 0.500 0.367
```